Entry 1:
SrZrPb2: optimized geometry, GGA-PBE.

a b c (Å): 3.4075 5.5098 6.3492
angles (deg): 90.00 90.00 90.00
Space group Pmmm (No. 47)
Unique sites:
Sr 0.0000 0.0000 0.0000 x1
Zr 0.5000 0.5000 0.5000 x1
Pb 0.0000 0.0000 0.5000 x1
Pb 0.5000 0.5000 0.0000 x1

Values from the calculation:
Uncorrected energy, eV for the cell shown: -17.8
ΔE_f, eV per atom: -0.0338

***

Entry 2:
GaTcPbBr2: optimized geometry, GGA-PBE.

a b c (Å): 5.8069 5.8069 5.7988
angles (deg): 90.00 90.00 90.00
Space group P4/mmm (No. 123)
Unique sites:
Ga 0.0000 0.0000 0.0000 x1
Tc 0.5000 0.5000 0.0000 x1
Pb 0.0000 0.0000 0.5000 x1
Br 0.0000 0.5000 0.5000 x2

Values from the calculation:
Uncorrected energy, eV for the cell shown: -16.0

***

Entry 3:
AlSb: optimized geometry, GGA-PBE.

a b c (Å): 6.6343 4.7903 3.4187
angles (deg): 90.00 120.40 90.00
Space group C2/m (No. 12)
Unique sites:
Al 0.0000 0.0000 0.0000 x2
Sb 0.0000 0.5000 0.5000 x2

Values from the calculation:
Uncorrected energy, eV for the cell shown: -15.5

***

Entry 4:
Al3GaB: optimized geometry, GGA-PBE.

a b c (Å): 4.7650 4.7650 4.7650
angles (deg): 90.00 90.00 90.00
Space group Pm-3m (No. 221)
Unique sites:
Al 0.0000 0.0000 0.5000 x3
Ga 0.0000 0.0000 0.0000 x1
B 0.5000 0.5000 0.5000 x1

Values from the calculation:
Uncorrected energy, eV for the cell shown: -14.0
ΔE_f, eV per atom: 1.3856

***

Entry 5:
CsYAg2I6: optimized geometry, GGA-PBE.

a b c (Å): 16.6984 14.5103 9.3592
angles (deg): 90.00 114.48 90.00
Space group C2/c (No. 15)
Unique sites:
Cs 0.0000 0.1714 0.2500 x4
Y 0.0000 0.1784 0.7500 x4
Ag 0.0659 0.4507 0.1318 x8
I 0.1175 0.0647 0.6729 x8
I 0.1228 0.2784 0.0209 x8
I 0.1250 0.4198 0.4640 x8

Values from the calculation:
Uncorrected energy, eV for the cell shown: -125.3

***

Entry 6:
NaZn3F8: optimized geometry, GGA-PBE.

a b c (Å): 5.8049 5.8049 6.4197
angles (deg): 90.00 90.00 120.00
Space group P-3 (No. 147)
Unique sites:
Na 0.0000 0.0000 0.0000 x1
Zn 0.0000 0.0000 0.5000 x1
Zn 0.3333 0.6667 0.7817 x2
F 0.1201 0.8163 0.6996 x6
F 0.3333 0.6667 0.0724 x2

Values from the calculation:
Uncorrected energy, eV for the cell shown: -45.3

***

Entry 7:
LiMgPtRh: optimized geometry, GGA-PBE.

a b c (Å): 3.9247 3.9247 7.6403
angles (deg): 90.00 90.00 90.00
Space group I-4m2 (No. 119)
Unique sites:
Li 0.0000 0.0000 0.0000 x2
Mg 0.0000 0.0000 0.5000 x2
Pt 0.0000 0.5000 0.2500 x2
Rh 0.0000 0.5000 0.7500 x2

Values from the calculation:
Uncorrected energy, eV for the cell shown: -37.5
ΔE_f, eV per atom: -0.4600

***

Entry 8:
Ba2Sc2Os: optimized geometry, GGA-PBE.

a b c (Å): 4.1175 4.1175 17.6183
angles (deg): 90.00 90.00 90.00
Space group I4/mmm (No. 139)
Unique sites:
Ba 0.0000 0.5000 0.2500 x4
Sc 0.0000 0.0000 0.0746 x4
Os 0.0000 0.0000 0.5000 x2

Values from the calculation:
Uncorrected energy, eV for the cell shown: -42.8
ΔE_f, eV per atom: 1.2631

***

no.,M_tot (μB/cell)
1,0.00
2,4.82
3,0.00
4,0.00
5,0.00
6,1.14
7,0.00
8,0.25